1.
Density functional theory data (PBE) for a relaxed Ca2Ge7Au12 crystal.

Summary:
final energy = -0.1390 hartree per atom
space-group type = P-3
V = 20.91 A^3/atom

The structure in POSCAR format:
```
Ca2Ge7Au12
1.0
10.192 0.000 0.000
-5.096 8.827 0.000
0.000 0.000 4.880
Ca Ge Au
2 7 12
Direct
0.333 0.667 0.287
0.667 0.333 0.713
0.000 0.000 0.500
0.114 0.733 0.853
0.267 0.381 0.853
0.381 0.114 0.147
0.619 0.886 0.853
0.733 0.619 0.147
0.886 0.267 0.147
0.068 0.469 0.734
0.137 0.292 0.334
0.155 0.863 0.334
0.292 0.155 0.666
0.401 0.932 0.734
0.469 0.401 0.266
0.531 0.599 0.734
0.599 0.068 0.266
0.708 0.845 0.334
0.845 0.137 0.666
0.863 0.708 0.666
0.932 0.531 0.266
```

2.
Density functional theory data (PBE) for a relaxed Pd5Pb6Au crystal.

Summary:
final energy = -0.1620 hartree per atom
space-group type = C2/m
V = 22.82 A^3/atom

The structure in POSCAR format:
```
Pd5Pb6Au
1.0
3.210 -5.352 0.000
3.210 5.352 0.000
-1.914 0.000 7.972
Pd Pb Au
5 6 1
Direct
0.000 0.000 0.000
0.225 0.775 0.500
0.374 0.626 0.000
0.626 0.374 0.000
0.775 0.225 0.500
0.044 0.403 0.216
0.194 0.194 0.701
0.403 0.044 0.216
0.597 0.956 0.784
0.806 0.806 0.299
0.956 0.597 0.784
0.500 0.500 0.500
```

3.
Density functional theory data (PBE) for a relaxed Dy3Ho2ErP6 crystal.

Summary:
final energy = -0.2430 hartree per atom
space-group type = C2/m
V = 22.52 A^3/atom

The structure in POSCAR format:
```
Dy3Ho2ErP6
1.0
3.459 -5.990 0.000
3.459 5.990 0.000
-2.303 0.000 6.523
Dy Ho Er P
3 2 1 6
Direct
0.000 0.000 0.000
0.333 0.667 0.000
0.667 0.333 0.000
0.167 0.833 0.500
0.833 0.167 0.500
0.500 0.500 0.500
0.085 0.417 0.252
0.250 0.250 0.748
0.417 0.085 0.252
0.583 0.915 0.748
0.750 0.750 0.252
0.915 0.583 0.748
```

4.
Density functional theory data (PBE) for a relaxed FeAgAs2 crystal.

Summary:
final energy = -0.1768 hartree per atom
space-group type = P4/mmm
V = 16.68 A^3/atom

The structure in POSCAR format:
```
FeAgAs2
1.0
4.414 0.000 0.000
0.000 4.414 0.000
0.000 0.000 3.425
Fe Ag As
1 1 2
Direct
0.000 0.000 0.000
0.500 0.500 0.000
0.000 0.500 0.500
0.500 0.000 0.500
```

5.
Density functional theory data (PBE) for a relaxed Li10CdAu6 crystal.

Summary:
final energy = -0.1024 hartree per atom
space-group type = P-31m
V = 16.62 A^3/atom

The structure in POSCAR format:
```
Li10CdAu6
1.0
7.708 0.000 0.000
-3.854 6.675 0.000
0.000 0.000 5.493
Li Cd Au
10 1 6
Direct
0.000 0.300 0.323
0.000 0.700 0.677
0.300 0.000 0.323
0.300 0.300 0.677
0.333 0.667 0.000
0.333 0.667 0.500
0.667 0.333 0.000
0.667 0.333 0.500
0.700 0.000 0.677
0.700 0.700 0.323
0.000 0.000 0.000
0.000 0.363 0.809
0.000 0.637 0.191
0.363 0.000 0.809
0.363 0.363 0.191
0.637 0.000 0.191
0.637 0.637 0.809
```

6.
Density functional theory data (PBE) for a relaxed Dy4PIrS2 crystal.

Summary:
space-group type = P2/m
formation energy from raw total energies = -1.55 eV/atom
V = 22.65 A^3/atom

The structure in POSCAR format:
```
Dy4PIrS2
1.0
6.927 0.000 0.000
0.000 3.947 0.000
-2.235 0.000 6.628
Dy P Ir S
4 1 1 2
Direct
0.244 0.000 0.240
0.248 0.500 0.762
0.752 0.500 0.238
0.756 0.000 0.760
0.500 0.000 0.000
0.000 0.500 0.000
0.000 0.000 0.500
0.500 0.500 0.500
```

7.
Density functional theory data (PBE) for a relaxed SmGaNi crystal.

Summary:
final energy = -0.1874 hartree per atom
space-group type = Pnma
V = 18.88 A^3/atom

The structure in POSCAR format:
```
SmGaNi
1.0
7.038 0.000 0.000
0.000 4.390 0.000
0.000 0.000 7.333
Sm Ga Ni
4 4 4
Direct
0.025 0.250 0.194
0.475 0.750 0.694
0.525 0.250 0.306
0.975 0.750 0.806
0.173 0.250 0.581
0.327 0.750 0.081
0.673 0.250 0.919
0.827 0.750 0.419
0.203 0.750 0.408
0.297 0.250 0.908
0.703 0.750 0.092
0.797 0.250 0.592
```

8.
Density functional theory data (PBE) for a relaxed Sn2Pd12Pb5 crystal.

Summary:
final energy = -0.1798 hartree per atom
space-group type = C2/m
V = 20.47 A^3/atom

The structure in POSCAR format:
```
Sn2Pd12Pb5
1.0
8.142 -3.777 0.000
8.142 3.777 0.000
-2.218 0.000 6.323
Sn Pd Pb
2 12 5
Direct
0.208 0.792 0.000
0.792 0.208 0.000
0.034 0.625 0.942
0.046 0.046 0.721
0.080 0.697 0.567
0.303 0.920 0.433
0.375 0.966 0.058
0.412 0.412 0.818
0.588 0.588 0.182
0.625 0.034 0.942
0.697 0.080 0.567
0.920 0.303 0.433
0.954 0.954 0.279
0.966 0.375 0.058
0.228 0.228 0.786
0.282 0.282 0.377
0.500 0.500 0.500
0.718 0.718 0.623
0.772 0.772 0.214
```

9.
Density functional theory data (PBE) for a relaxed ZrTaAl crystal.

Summary:
final energy = -0.3017 hartree per atom
space-group type = Fmm2
V = 18.97 A^3/atom

The structure in POSCAR format:
```
ZrTaAl
1.0
0.000 2.072 6.641
2.068 0.000 6.641
2.068 2.072 0.000
Zr Ta Al
1 1 1
Direct
0.000 0.000 0.000
0.678 0.678 0.322
0.331 0.331 0.669
```

10.
Density functional theory data (PBE) for a relaxed Ta3NbGe crystal.

Summary:
final energy = -0.3081 hartree per atom
space-group type = Pm-3m
V = 23.28 A^3/atom

The structure in POSCAR format:
```
Ta3NbGe
1.0
4.883 0.000 0.000
0.000 4.883 0.000
0.000 0.000 4.883
Ta Nb Ge
3 1 1
Direct
0.000 0.000 0.500
0.000 0.500 0.000
0.500 0.000 0.000
0.000 0.000 0.000
0.500 0.500 0.500
```

11.
Density functional theory data (PBE) for a relaxed In4As3 crystal.

Summary:
final energy = -0.1293 hartree per atom
space-group type = I4/mmm
V = 26.36 A^3/atom

The structure in POSCAR format:
```
In4As3
1.0
-1.994 1.994 11.597
1.994 -1.994 11.597
1.994 1.994 -11.597
In As
4 3
Direct
0.062 0.062 0.000
0.308 0.308 0.000
0.692 0.692 0.000
0.938 0.938 0.000
0.181 0.181 0.000
0.500 0.500 0.000
0.819 0.819 0.000
```

12.
Density functional theory data (PBE) for a relaxed Cs2Mn2Zn crystal.

Summary:
final energy = -0.1177 hartree per atom
space-group type = P4/mbm
V = 44.38 A^3/atom

The structure in POSCAR format:
```
Cs2Mn2Zn
1.0
10.689 0.000 0.000
0.000 10.689 0.000
0.000 0.000 3.884
Cs Mn Zn
4 4 2
Direct
0.200 0.300 0.000
0.300 0.800 0.000
0.700 0.200 0.000
0.800 0.700 0.000
0.083 0.583 0.500
0.417 0.083 0.500
0.583 0.917 0.500
0.917 0.417 0.500
0.000 0.000 0.500
0.500 0.500 0.500
```

Q: Which of these has the lowest V?
A: Li10CdAu6

Q: Which of these has the highest V?
A: Cs2Mn2Zn

Q: Which value of V does entry 8 give?
A: 20.47 A^3/atom

Q: Which of these has the highest V?
A: Cs2Mn2Zn